## PuNpVO6 (PBE+U)

Data for crystalline PuNpVO6 at its relaxed geometry.

Computed properties:
Crystal system: trigonal
D(E_F) in states/eV per cell: 18.21
Spin magnetization in μB per formula unit: 8.000
DFT total energy in eV/atom: -9.86

abc: 5.3979 5.3979 9.7668
angles: 90.00 90.00 120.00
Space group P-31c (No. 163)
Symmetry-distinct sites (fractional):
Pu (0.0000, 0.0000, 0.0000) x2
Np (0.3333, 0.6667, 0.2500) x2
V (0.3333, 0.6667, 0.7500) x2
O (0.0118, 0.3509, 0.6363) x12